1.
Computed, not measured: crystalline CsNpBeS4 at its relaxed geometry at the PBE level of DFT.

Total DFT energy (no corrections): -5.98 eV/atom
Uncorrected formation energy: -1.12 eV per atom

a b c (Å): 6.1119 6.4290 9.3878
angles (deg): 90.00 108.02 90.00
Positions (direct):
Cs 0.2064 0.2500 0.4462
Cs 0.7936 0.7500 0.5538
Np 0.3162 0.7500 0.0502
Np 0.6838 0.2500 0.9498
Be 0.1289 0.2500 0.8497
Be 0.8711 0.7500 0.1503
S 0.1263 0.2500 0.0703
S 0.2053 0.7500 0.2957
S 0.3297 0.5029 0.8155
S 0.3297 0.9971 0.8155
S 0.6703 0.0029 0.1845
S 0.6703 0.4971 0.1845
S 0.7947 0.2500 0.7043
S 0.8737 0.7500 0.9297

2.
Computed, not measured: crystalline CsNpBeS3 at its relaxed geometry at the PBE level of DFT.

Total DFT energy (no corrections): -6.20 eV/atom
Uncorrected formation energy: -1.22 eV per atom

a b c (Å): 9.5424 3.9293 9.6081
angles (deg): 90.00 111.95 90.00
Positions (direct):
Cs 0.2425 0.2500 0.2106
Cs 0.7575 0.7500 0.7894
Np 0.1496 0.2500 0.6685
Np 0.8504 0.7500 0.3315
Be 0.3942 0.7500 0.9238
Be 0.6058 0.2500 0.0762
S 0.1567 0.7500 0.4737
S 0.1641 0.7500 0.8765
S 0.4652 0.2500 0.8460
S 0.5348 0.7500 0.1540
S 0.8359 0.2500 0.1235
S 0.8433 0.2500 0.5263

3.
Computed, not measured: crystalline Cs2NpBeS4 at its relaxed geometry at the PBE level of DFT.

Total DFT energy (no corrections): -5.44 eV/atom
Uncorrected formation energy: -1.08 eV per atom

a b c (Å): 14.8864 13.3669 7.8237
angles (deg): 84.99 63.44 31.57
Positions (direct):
Cs 0.0522 0.0522 0.6978
Cs 0.3022 0.3022 0.9478
Cs 0.6978 0.6978 0.0522
Cs 0.9478 0.9478 0.3022
Np 0.1250 0.1250 0.1250
Np 0.8750 0.8750 0.8750
Be 0.3750 0.3750 0.3750
Be 0.6250 0.6250 0.6250
S 0.0336 0.6219 0.5375
S 0.3070 0.5375 0.6219
S 0.3781 0.9664 0.6930
S 0.4625 0.6930 0.9664
S 0.5375 0.3070 0.0336
S 0.6219 0.0336 0.3070
S 0.6930 0.4625 0.3781
S 0.9664 0.3781 0.4625

4.
Computed, not measured: crystalline Cs3Np3BeS8 at its relaxed geometry at the PBE level of DFT.

Total DFT energy (no corrections): -6.37 eV/atom
Uncorrected formation energy: -1.16 eV per atom

a b c (Å): 9.3681 9.3681 9.3681
angles (deg): 50.06 50.06 50.06
Positions (direct):
Cs 0.0000 0.5000 0.5000
Cs 0.5000 0.0000 0.5000
Cs 0.5000 0.5000 0.0000
Np 0.0000 0.0000 0.5000
Np 0.0000 0.5000 0.0000
Np 0.5000 0.0000 0.0000
Be 0.5000 0.5000 0.5000
S 0.2271 0.2271 0.2271
S 0.2418 0.7117 0.7117
S 0.2883 0.2883 0.7582
S 0.2883 0.7582 0.2883
S 0.7117 0.2418 0.7117
S 0.7117 0.7117 0.2418
S 0.7582 0.2883 0.2883
S 0.7729 0.7729 0.7729